[1]
This record from Alexandria describes a geometry-optimized Mn2ZnBi2 structure. The functional is GGA-PBE.

Lattice parameters (Å, degrees): 7.186 7.186 4.060 90.00 90.00 90.00
Last column: magnetic moment on the atom in μB.
Sites, in units of the cell vectors:
Zn: 0.000 0.000 0.000  -0.05
Zn: 0.500 0.500 0.000  -0.05
Mn: 0.367 0.867 0.000  3.42
Mn: 0.867 0.633 0.000  3.42
Mn: 0.633 0.133 0.000  3.42
Mn: 0.133 0.367 0.000  3.42
Bi: 0.170 0.670 0.500  -0.16
Bi: 0.670 0.830 0.500  -0.15
Bi: 0.830 0.330 0.500  -0.16
Bi: 0.330 0.170 0.500  -0.15

Computed properties:
Energy of formation (meV/atom): 299.3
Total magnetization (μB per formula unit): 6.791
Energy (eV/atom): -5.18


[2]
This record from Alexandria describes a geometry-optimized Ba5Y structure. The functional is GGA-PBE.

Lattice parameters (Å, degrees): 7.843 7.843 7.843 60.00 60.00 60.00
Last column: magnetic moment on the atom in μB.
Sites, in units of the cell vectors:
Ba: 0.250 0.250 0.250  0.00
Ba: 0.626 0.626 0.626  0.05
Ba: 0.626 0.626 0.121  0.05
Ba: 0.121 0.626 0.626  0.05
Ba: 0.626 0.121 0.626  0.05
Y: 0.000 0.000 0.000  0.20

Computed properties:
Relative energy among the computed polymorphs (eV per atom): 0.2202
Energy of formation (meV/atom): 337.2
Total magnetization (μB per formula unit): 1.302
Energy (eV/atom): -2.34